# Pr8NiIr3Cl4 | the Alexandria database | PBE-GGA | optimized geometry
data_Pr8NiIr3Cl4
_chemical_formula_sum 'Pr16 Ni2 Ir6 Cl8'
_space_group_name_H-M_alt 'C 1 2/m 1'
_space_group_IT_number 12
_space_group_name_Hall '-C 2y'
_cell_length_a 14.3536
_cell_length_b 8.2892
_cell_length_c 8.9647
_cell_angle_alpha 90.00
_cell_angle_beta 122.33
_cell_angle_gamma 90.00
loop_
_atom_site_label
_atom_site_fract_x
_atom_site_fract_y
_atom_site_fract_z
Pr1 0.0150 0.2484 0.2970
Pr2 0.2335 0.0000 0.7031
Pr3 0.2356 0.5000 0.7063
Ni1 0.0000 0.0000 0.5000
Ir1 0.0000 0.5000 0.5000
Ir2 0.2500 0.2500 0.5000
Cl1 0.0000 0.0000 0.0000
Cl2 0.0000 0.5000 0.0000
Cl3 0.2500 0.2500 0.0000
# - uncorrected formation energy (eV/atom) = -1.116
# - D(E_F) (states/eV/cell) = 13.508
# - ρ (Mg/m³) = 7.017
# - total magnetic moment (μB/atom) = 0.000
# - E (eV/atom) = -5.991